Mg6ZnCoO8: relaxed, PBE+U.

Unit cell a=4.260 b=4.260 c=8.595 alpha=90.00 beta=90.00 gamma=90.00
Positions (direct):
1 Mg 0.500 0.500 0.000
2 Mg 0.500 0.500 0.500
3 Mg 0.000 0.500 0.250
4 Mg 0.000 0.500 0.750
5 Mg 0.500 0.000 0.250
6 Mg 0.500 0.000 0.750
7 Zn 0.000 0.000 0.000
8 Co 0.000 0.000 0.500
9 O 0.000 0.000 0.249
10 O 0.000 0.000 0.751
11 O 0.500 0.500 0.251
12 O 0.500 0.500 0.749
13 O 0.000 0.500 0.000
14 O 0.000 0.500 0.500
15 O 0.500 0.000 0.000
16 O 0.500 0.000 0.500

offset from the most stable computed form: 0 meV per atom
uncorrected energy: -5.7878 eV/atom
ρ: 4.24 Mg/m³
crystal system: tetragonal